Density functional theory data (meta-GGA SCAN) for a PBEsol-optimized structure of Eu2SO6.

Unit cell a=7.107 b=7.107 c=8.146 alpha=107.05 beta=107.05 gamma=34.39
Element x y z (fractional)
Eu: 0.160 0.179 0.084
Eu: 0.179 0.160 0.584
Eu: 0.821 0.840 0.416
Eu: 0.840 0.821 0.916
S: 0.446 0.554 0.750
S: 0.554 0.446 0.250
O: 0.236 0.274 0.378
O: 0.236 0.762 0.602
O: 0.238 0.764 0.898
O: 0.262 0.549 0.203
O: 0.274 0.236 0.878
O: 0.451 0.738 0.297
O: 0.549 0.262 0.703
O: 0.726 0.764 0.122
O: 0.738 0.451 0.797
O: 0.762 0.236 0.102
O: 0.764 0.238 0.398
O: 0.764 0.726 0.622

## Properties
formation energy without anion corrections	-58.9	kcal/mol of atoms
volume	221.2	Å³ per cell